Here is crystalline LiInCo at its relaxed geometry from Alexandria via LeMat-Bulk. Energies are from PBE.

```
LiInCo
1.0
3.172 0.000 0.000
0.000 3.172 0.000
0.000 0.000 8.706
Li In Co
2 2 2
direct
0.000 0.000 0.000 Li
0.500 0.500 0.500 Li
0.000 0.000 0.313 In
0.500 0.500 0.813 In
0.000 0.000 0.644 Co
0.500 0.500 0.144 Co
```

Values from the calculation:
The crystal system is tetragonal. Its total DFT energy (no corrections) is -22.91 eV/cell. The volume is 14.60 A^3/atom. For the magnetic moment, the calculation gives 0.00 μB/f.u. The calculation puts the density of states at the Fermi level at 0.579 states/eV per atom. The calculated formation energy is 101 meV/atom. As for the space-group type: I4mm, No. 107.

---

Here is crystalline K2TcPt at its relaxed geometry from Alexandria via LeMat-Bulk. Energies are from PBE.

```
K2TcPt
1.0
12.005 0.000 0.000
0.000 12.005 0.000
0.000 0.000 4.853
K Tc Pt
8 4 4
direct
0.086 0.250 0.125 K
0.250 0.586 0.375 K
0.250 0.914 0.875 K
0.414 0.250 0.625 K
0.586 0.750 0.625 K
0.750 0.086 0.875 K
0.750 0.414 0.375 K
0.914 0.750 0.125 K
0.000 0.000 0.500 Tc
0.000 0.500 0.750 Tc
0.500 0.000 0.250 Tc
0.500 0.500 0.000 Tc
0.000 0.000 0.000 Pt
0.000 0.500 0.250 Pt
0.500 0.000 0.750 Pt
0.500 0.500 0.500 Pt
```

Values from the calculation:
The crystal system is tetragonal. Its total DFT energy (no corrections) is -60.61 eV/cell. The volume is 43.71 A^3/atom. For the magnetic moment, the calculation gives 3.06 μB/f.u. As for the energy above the lowest structure with this stoichiometry: 1.74 eV/f.u. The calculation puts the density of states at the Fermi level at 0.974 states/eV per atom. The calculated formation energy is 862 meV/atom. As for the space-group type: I-42d, No. 122.

---

Here is crystalline Li2LaTbHg4 at its relaxed geometry from Alexandria via LeMat-Bulk. Energies are from PBE.

```
Li2LaTbHg4
1.0
2.562 1.479 8.430
-2.562 1.479 8.430
0.000 -2.958 8.430
Li La Tb Hg
2 1 1 4
direct
0.247 0.247 0.247 Li
0.753 0.753 0.753 Li
0.000 0.000 0.000 La
0.500 0.500 0.500 Tb
0.128 0.128 0.128 Hg
0.379 0.379 0.379 Hg
0.621 0.621 0.621 Hg
0.872 0.872 0.872 Hg
```

Values from the calculation:
The crystal system is trigonal. Its total DFT energy (no corrections) is -18.21 eV/cell. The volume is 23.95 A^3/atom. For the magnetic moment, the calculation gives 0.00 μB/f.u. The calculation puts the density of states at the Fermi level at 0.755 states/eV per atom. The calculated formation energy is -452 meV/atom. As for the space-group type: R-3m, No. 166.

---

Here is crystalline TaInPt6 at its relaxed geometry from Alexandria via LeMat-Bulk. Energies are from PBE.

```
TaInPt6
1.0
4.026 0.000 0.000
0.000 4.026 0.000
0.000 0.000 8.043
Ta In Pt
1 1 6
direct
0.000 0.000 0.000 Ta
0.000 0.000 0.500 In
0.000 0.500 0.238 Pt
0.000 0.500 0.762 Pt
0.500 0.000 0.238 Pt
0.500 0.000 0.762 Pt
0.500 0.500 0.000 Pt
0.500 0.500 0.500 Pt
```

Values from the calculation:
The crystal system is tetragonal. Its total DFT energy (no corrections) is -55.74 eV/cell. The volume is 16.30 A^3/atom. For the magnetic moment, the calculation gives 0.00 μB/f.u. The calculation puts the density of states at the Fermi level at 0.185 states/eV per atom. The calculated formation energy is -613 meV/atom. As for the space-group type: P4/mmm, No. 123.

---

Here is crystalline Tb2Pr3In4 at its relaxed geometry from Alexandria via LeMat-Bulk. Energies are from PBE.

```
Tb2Pr3In4
1.0
6.035 -2.562 0.000
6.035 2.562 0.000
-5.237 0.000 8.700
Tb Pr In
2 3 4
direct
0.147 0.147 0.312 Tb
0.853 0.853 0.688 Tb
0.146 0.146 0.685 Pr
0.500 0.500 0.000 Pr
0.854 0.854 0.315 Pr
0.203 0.203 0.040 In
0.447 0.447 0.609 In
0.553 0.553 0.391 In
0.797 0.797 0.960 In
```

Values from the calculation:
The crystal system is monoclinic. Its total DFT energy (no corrections) is -37.92 eV/cell. The volume is 29.89 A^3/atom. For the magnetic moment, the calculation gives 0.00 μB/f.u. As for the energy above the lowest structure with this stoichiometry: 0.32 eV/f.u. The calculation puts the density of states at the Fermi level at 0.871 states/eV per atom. The calculated formation energy is -374 meV/atom. As for the space-group type: C2/m, No. 12.

---

Here is crystalline Mg2Ta2Tl at its relaxed geometry from Alexandria via LeMat-Bulk. Energies are from PBE.

```
Mg2Ta2Tl
1.0
8.516 0.000 0.000
0.000 8.516 0.000
0.000 0.000 3.029
Mg Ta Tl
4 4 2
direct
0.184 0.316 0.000 Mg
0.316 0.816 0.000 Mg
0.684 0.184 0.000 Mg
0.816 0.684 0.000 Mg
0.105 0.605 0.500 Ta
0.395 0.105 0.500 Ta
0.605 0.895 0.500 Ta
0.895 0.395 0.500 Ta
0.000 0.000 0.000 Tl
0.500 0.500 0.000 Tl
```

Values from the calculation:
The crystal system is tetragonal. Its total DFT energy (no corrections) is -52.49 eV/cell. The volume is 21.96 A^3/atom. For the magnetic moment, the calculation gives 0.00 μB/f.u. As for the energy above the lowest structure with this stoichiometry: 0.18 eV/f.u. The calculation puts the density of states at the Fermi level at 0.628 states/eV per atom. The calculated formation energy is 603 meV/atom. As for the space-group type: P4/mbm, No. 127.

---

Which formula does entry 4 have?
TaInPt6